1.
Compound: Dy2ZnRh
Source: Alexandria
Functional: PBE-GGA
Structure: relaxed

DFT formation energy: -0.67 eV per formula unit
Spin magnetization: 0.00 μB per formula unit

abc: 3.925 3.925 9.580
angles: 78.18 78.18 60.00
Element x y z (fractional)
Dy 0.888 0.888 0.337
Dy 0.112 0.112 0.663
Zn 0.000 0.000 0.000
Rh 0.500 0.500 0.500

2.
Compound: Zn2Pd2Au
Source: Alexandria
Functional: PBE-GGA
Structure: relaxed

Polymorph energy (0 for the lowest one): 52.1 meV/atom
DFT formation energy: -1.59 eV per formula unit
Spin magnetization: 0.00 μB per formula unit

abc: 2.863 4.526 12.031
angles: 89.88 90.00 90.00
Element x y z (fractional)
Pd 0.250 0.250 0.540
Pd 0.750 0.249 0.142
Pd 0.250 0.751 0.858
Pd 0.750 0.750 0.460
Zn 0.750 0.251 0.355
Zn 0.250 0.749 0.645
Zn 0.250 0.250 0.957
Zn 0.750 0.750 0.043
Au 0.250 0.749 0.248
Au 0.750 0.251 0.752

3.
Compound: Li3Cd2Br7
Source: Alexandria
Functional: PBE-GGA
Structure: relaxed

Spin magnetization: 0.00 μB per formula unit
Energy relative to the elements, uncorrected: -110.1 kJ/mol of atoms

abc: 7.138 7.188 12.956
angles: 106.10 90.00 90.00
Element x y z (fractional)
Cd 0.754 0.140 0.787
Cd 0.254 0.647 0.787
Cd 0.254 0.860 0.213
Cd 0.754 0.353 0.213
Br 0.913 0.824 0.849
Br 0.413 0.025 0.849
Br 0.357 0.622 0.000
Br 0.073 0.558 0.283
Br 0.573 0.725 0.283
Br 0.670 0.333 0.422
Br 0.670 0.911 0.578
Br 0.413 0.176 0.151
Br 0.573 0.442 0.717
Br 0.857 0.378 0.000
Br 0.170 0.089 0.422
Br 0.170 0.667 0.578
Br 0.073 0.275 0.717
Br 0.913 0.975 0.151
Li 0.229 0.283 0.000
Li 0.729 0.717 0.000
Li 0.807 0.989 0.403
Li 0.307 0.414 0.403
Li 0.807 0.586 0.597
Li 0.307 0.011 0.597

4.
Compound: TlSb2
Source: Alexandria
Functional: PBE-GGA
Structure: relaxed

Spin magnetization: 0.00 μB per formula unit
Energy relative to the elements, uncorrected: 7.5 kJ/mol of atoms

abc: 6.336 6.336 22.138
angles: 90.00 90.00 120.00
Element x y z (fractional)
Sb 0.500 0.000 0.000
Sb 0.500 0.500 0.000
Sb 0.179 0.821 0.750
Sb 0.667 0.333 0.121
Sb 0.667 0.333 0.379
Sb 0.179 0.357 0.750
Sb 0.821 0.179 0.250
Sb 0.333 0.667 0.621
Sb 0.000 0.500 0.000
Sb 0.643 0.821 0.750
Sb 0.500 0.500 0.500
Sb 0.357 0.179 0.250
Sb 0.821 0.643 0.250
Sb 0.000 0.500 0.500
Sb 0.333 0.667 0.879
Sb 0.500 0.000 0.500
Tl 0.667 0.333 0.849
Tl 0.000 0.000 0.592
Tl 0.000 0.000 0.908
Tl 0.667 0.333 0.651
Tl 0.333 0.667 0.349
Tl 0.000 0.000 0.408
Tl 0.000 0.000 0.092
Tl 0.333 0.667 0.151

5.
Compound: ThPaBi
Source: Alexandria
Functional: PBE-GGA
Structure: relaxed

Polymorph energy (0 for the lowest one): 201.1 meV/atom
DFT formation energy: 0.42 eV per formula unit
Spin magnetization: 0.97 μB per formula unit

abc: 3.364 5.542 5.542
angles: 120.00 90.00 90.00
Last column: magnetic moment on the atom in μB.
Element x y z (fractional)
Pa 0.079 0.000 0.000  0.65
Th 0.610 0.667 0.333  0.10
Bi 0.312 0.333 0.667  0.00

6.
Compound: SnHg8Pb2
Source: Alexandria
Functional: PBE-GGA
Structure: relaxed

DFT formation energy: 0.75 eV per formula unit
Spin magnetization: 0.00 μB per formula unit

abc: 3.756 10.244 10.110
angles: 116.19 90.45 110.56
Element x y z (fractional)
Hg 0.724 0.224 0.448
Hg 0.723 0.704 0.759
Hg 0.963 0.944 0.241
Hg 0.277 0.296 0.241
Hg 0.825 0.340 0.000
Hg 0.276 0.776 0.552
Hg 0.037 0.056 0.759
Hg 0.175 0.660 0.000
Pb 0.637 0.637 0.274
Pb 0.363 0.363 0.726
Sn 0.500 0.000 0.000

7.
Compound: HoAl6Re
Source: Alexandria
Functional: PBE-GGA
Structure: relaxed

DFT formation energy: 1.60 eV per formula unit
Spin magnetization: 0.00 μB per formula unit

abc: 5.825 5.825 6.949
angles: 65.22 65.22 60.00
Element x y z (fractional)
Al 0.083 0.083 0.277
Al 0.557 0.083 0.277
Al 0.917 0.443 0.723
Al 0.917 0.917 0.723
Al 0.083 0.557 0.277
Al 0.443 0.917 0.723
Ho 0.500 0.500 0.500
Re 0.000 0.000 0.000

8.
Compound: Cs4Cd
Source: Alexandria
Functional: PBE-GGA
Structure: relaxed

Polymorph energy (0 for the lowest one): 0.0 meV/atom
DFT formation energy: -0.03 eV per formula unit
Spin magnetization: 0.00 μB per formula unit

abc: 10.062 10.599 10.965
angles: 74.11 62.69 61.66
Element x y z (fractional)
Cs 0.749 0.320 0.182
Cs 0.712 0.765 0.343
Cs 0.674 0.788 0.864
Cs 0.326 0.212 0.136
Cs 0.179 0.765 0.343
Cs 0.288 0.235 0.657
Cs 0.821 0.235 0.657
Cs 0.251 0.680 0.818
Cd 0.150 0.000 0.000
Cd 0.850 0.000 0.000